Record 1
YZn2Cd2: relaxed, PBE.

```
YZn2Cd2
1.0
8.2330 0.0000 0.0000
0.0000 8.2330 0.0000
0.0000 0.0000 3.0957
Cd Zn Y
4 4 2
Direct
0.6264 0.1264 0.0000
0.1264 0.3736 0.0000
0.8736 0.6264 0.0000
0.3736 0.8736 0.0000
0.3268 0.1732 0.5000
0.8268 0.3268 0.5000
0.1732 0.6732 0.5000
0.6732 0.8268 0.5000
0.0000 0.0000 0.0000
0.5000 0.5000 0.0000
```

Properties
excess energy over the best structure of this formula in the dataset: 195 meV per atom
total DFT energy (no corrections): -22.11 eV for the cell shown
space-group type: P4/mbm (127)
formation energy from the elements: -42 meV/atom

---

Record 2
LiBiAsSe2: relaxed, PBE.

```
LiBiAsSe2
1.0
-0.9969 5.3925 -1.2450
-3.0394 0.5237 4.7021
4.5277 1.4748 2.7624
Se Li Bi As
2 1 1 1
Direct
0.0000 0.5000 0.0000
0.5000 0.0000 0.0000
0.5000 0.5000 0.5000
0.0000 0.0000 0.0000
0.0000 0.0000 0.5000
```

Properties
excess energy over the best structure of this formula in the dataset: 155 meV per atom
total DFT energy (no corrections): -15.74 eV for the cell shown
space-group type: P4/mmm (123)

---

Record 3
Ti2BeCrRu: relaxed, PBE.

```
Ti2BeCrRu
1.0
-0.1858 -4.5458 -0.6896
3.8585 0.0542 -1.3972
1.5567 -0.7116 4.2714
Cr Ru Ti Be
1 1 2 1
Direct
0.5000 0.5000 0.5000
0.0000 0.0000 0.0000
0.0000 0.0000 0.5000
0.5000 0.0000 0.0000
0.0000 0.5000 0.0000
```

Properties
total DFT energy (no corrections): -33.87 eV for the cell shown
space-group type: P4/mmm (123)
formation energy from the elements: 909 meV/atom

---

Record 4
HRuCN: relaxed, PBE.

```
HRuCN
1.0
-1.2158 -2.3918 -0.9066
1.9571 -2.5146 -1.0508
-0.2629 -3.0851 3.8251
C Ru H N
1 1 1 1
Direct
0.6112 0.0164 0.0320
0.9038 0.0654 0.3608
0.1442 0.4706 0.4333
0.7329 0.0313 0.7754
```

Properties
excess energy over the best structure of this formula in the dataset: 97 meV per atom
total DFT energy (no corrections): -28.19 eV for the cell shown
space-group type: P1 (1)

---

Record 5
Ac3Ce2SmP6: relaxed, PBE.

```
Ac3Ce2SmP6
1.0
-1.5688 7.1597 -0.8715
-0.6802 -4.6468 -5.6945
-5.8998 -2.0750 3.9925
P Ce Ac Sm
6 2 3 1
Direct
0.4124 0.0762 0.2286
0.7399 0.7399 0.2285
0.2601 0.2601 0.7715
0.0762 0.4124 0.2286
0.9238 0.5876 0.7714
0.5876 0.9238 0.7714
0.6669 0.3331 0.0000
0.3331 0.6669 0.0000
0.5000 0.5000 0.5000
0.8339 0.1661 0.5000
0.1661 0.8339 0.5000
0.0000 0.0000 0.0000
```

Properties
total DFT energy (no corrections): -79.04 eV for the cell shown
space-group type: C2/m (12)
formation energy from the elements: -1472 meV/atom

---

Record 6
La6Tl2IrRu: relaxed, PBE.

```
La6Tl2IrRu
1.0
-6.6380 1.8190 -3.6784
-2.1470 -7.5824 0.1250
-4.9855 1.5729 9.7745
La Tl Ir Ru
12 4 2 2
Direct
0.2472 0.4868 0.0000
0.2423 0.0099 0.5000
0.2528 0.5132 0.5000
0.5000 0.2381 0.2478
0.7528 0.4868 0.0000
0.7472 0.5132 0.5000
0.0000 0.7619 0.7478
0.7423 0.9901 0.0000
0.0000 0.7619 0.2522
0.5000 0.2381 0.7522
0.2577 0.9901 0.0000
0.7577 0.0099 0.5000
0.5000 0.7648 0.7497
0.0000 0.2352 0.2497
0.5000 0.7648 0.2503
0.0000 0.2352 0.7503
0.0000 0.7403 0.0000
0.5000 0.2597 0.5000
0.5000 0.2698 0.0000
0.0000 0.7302 0.5000
```

Properties
total DFT energy (no corrections): -112.10 eV for the cell shown
space-group type: Pmmn (59)
formation energy from the elements: -362 meV/atom